# 1
Density functional theory data (SCAN) for a crystal of SmBi3 relaxed with PBEsol.

Results
Its formation energy is -458 meV per atom. The space group is I4/mmm. The volume is 29.36 Å³ per atom.

Cell: 4.6321 4.6321 6.3784 Å, 111.29 111.29 90.00°
With the nearest neighbours (Å) after each atom.
Positions (direct):
Bi: 0.2500 0.7500 0.5000  8 Bi 3.28-3.59, 4 Sm 3.59
Bi: 0.7500 0.2500 0.5000  8 Bi 3.28-3.59, 4 Sm 3.59
Bi: 0.5000 0.5000 0.0000  4 Sm 3.28, 8 Bi 3.59
Sm: 0.0000 0.0000 0.0000  12 Bi 3.28-3.59


# 2
Density functional theory data (SCAN) for a crystal of Sm2Bi relaxed with PBEsol.

Results
Its formation energy is -780 meV per atom. The space group is I4/mmm. The volume is 29.62 Å³ per atom.

Cell: 4.4929 4.4929 9.3597 Å, 103.89 103.89 90.00°
With the nearest neighbours (Å) after each atom.
Positions (direct):
Bi: 0.8608 0.8608 0.7215  9 Sm 3.21-3.33
Bi: 0.1392 0.1392 0.2785  9 Sm 3.21-3.33
Sm: 0.3214 0.3214 0.6427  5 Bi 3.21-3.25
Sm: 0.0000 0.5000 0.0000  4 Sm 3.18, 4 Bi 3.33
Sm: 0.6786 0.6786 0.3573  5 Bi 3.21-3.25
Sm: 0.5000 0.0000 0.0000  4 Sm 3.18, 4 Bi 3.33


# 3
Density functional theory data (SCAN) for a crystal of SrSn3Bi relaxed with PBEsol.

Results
Its formation energy is 350 meV per atom. The space group is Pm-3m. The calculation puts the relative energy among the computed polymorphs at 0 kJ/mol of formula units. The volume is 38.52 Å³ per atom.

Cell: 5.7751 5.7751 5.7751 Å, 90.00 90.00 90.00°
With the nearest neighbours (Å) after each atom.
Positions (direct):
Sr: 0.5000 0.5000 0.5000  12 Sn 4.08
Bi: 0.0000 0.0000 0.0000  6 Sn 2.89
Sn: 0.0000 0.5000 0.0000  2 Bi 2.89
Sn: 0.0000 0.0000 0.5000  2 Bi 2.89
Sn: 0.5000 0.0000 0.0000  2 Bi 2.89


# 4
Density functional theory data (SCAN) for a crystal of Sr2SnBi2 relaxed with PBEsol.

Results
Its formation energy is -699 meV per atom. The space group is P4/mbm. The volume is 33.52 Å³ per atom.

Cell: 4.7635 8.3885 8.3885 Å, 90.00 90.00 90.00°
With the nearest neighbours (Å) after each atom.
Positions (direct):
Sr: 0.5000 0.1733 0.6733  6 Bi 3.32-3.51
Sr: 0.5000 0.6733 0.8267  6 Bi 3.32-3.51
Sr: 0.5000 0.8267 0.3267  6 Bi 3.32-3.51
Sr: 0.5000 0.3267 0.1733  6 Bi 3.32-3.51
Bi: 0.0000 0.3683 0.8683  1 Bi 3.13, 2 Sn 3.28, 2 Sr 3.32
Bi: 0.0000 0.8683 0.6317  1 Bi 3.13, 2 Sn 3.28, 2 Sr 3.32
Bi: 0.0000 0.6317 0.1317  1 Bi 3.13, 2 Sn 3.28, 2 Sr 3.32
Bi: 0.0000 0.1317 0.3683  1 Bi 3.13, 2 Sn 3.28, 2 Sr 3.32
Sn: 0.0000 0.0000 0.0000  4 Bi 3.28
Sn: 0.0000 0.5000 0.5000  4 Bi 3.28


# 5
Density functional theory data (SCAN) for a crystal of SrSn3Bi relaxed with PBEsol.

Results
Its formation energy is 994 meV per atom. The space group is Pm-3m. The calculation puts the relative energy among the computed polymorphs at 311 kJ/mol of formula units. The volume is 38.83 Å³ per atom.

Cell: 5.7905 5.7905 5.7905 Å, 90.00 90.00 90.00°
With the nearest neighbours (Å) after each atom.
Positions (direct):
Sr: 0.0000 0.0000 0.0000  6 Sn 2.90
Bi: 0.5000 0.5000 0.5000  12 Sn 4.09
Sn: 0.0000 0.5000 0.0000  2 Sr 2.90
Sn: 0.0000 0.0000 0.5000  2 Sr 2.90
Sn: 0.5000 0.0000 0.0000  2 Sr 2.90


# 6
Density functional theory data (SCAN) for a crystal of SrSnBi2Te relaxed with PBEsol.

Results
The space group is P4/mmm. The uncorrected formation energy comes out at 0.01 eV per atom. The volume is 37.76 Å³ per atom.

Cell: 5.7174 5.7174 5.7756 Å, 90.00 90.00 90.00°
With the nearest neighbours (Å) after each atom.
Positions (direct):
Sr: 0.5000 0.5000 0.5000  4 Te 4.04, 8 Bi 4.06
Te: 0.0000 0.0000 0.5000  2 Sn 2.89
Bi: 0.0000 0.5000 0.0000  2 Sn 2.86
Bi: 0.5000 0.0000 0.0000  2 Sn 2.86
Sn: 0.0000 0.0000 0.0000  4 Bi 2.86, 2 Te 2.89


# 7
Density functional theory data (SCAN) for a crystal of TaSnBi3 relaxed with PBEsol.

Results
Its formation energy is 1703 meV per atom. The space group is Pm-3m. The volume is 34.54 Å³ per atom.

Cell: 5.5690 5.5690 5.5690 Å, 90.00 90.00 90.00°
With the nearest neighbours (Å) after each atom.
Positions (direct):
Bi: 0.0000 0.5000 0.0000  2 Sn 2.78
Bi: 0.0000 0.0000 0.5000  2 Sn 2.78
Bi: 0.5000 0.0000 0.0000  2 Sn 2.78
Sn: 0.0000 0.0000 0.0000  6 Bi 2.78
Ta: 0.5000 0.5000 0.5000  12 Bi 3.94


# 8
Density functional theory data (SCAN) for a crystal of TaSn2BiW relaxed with PBEsol.

Results
Its formation energy is 1256 meV per atom. The space group is P4/mmm. The volume is 26.90 Å³ per atom.

Cell: 4.8218 5.2817 5.2817 Å, 90.00 90.00 90.00°
With the nearest neighbours (Å) after each atom.
Positions (direct):
Sn: 0.0000 0.0000 0.5000  2 Ta 2.64
Sn: 0.0000 0.5000 0.0000  2 Ta 2.64
Bi: 0.5000 0.5000 0.5000  8 Sn 3.58, 4 W 3.73
W: 0.5000 0.0000 0.0000  2 Ta 2.41
Ta: 0.0000 0.0000 0.0000  2 W 2.41, 4 Sn 2.64